# 1
A geometry-optimized BeSbPt2 structure. Source: Alexandria, functional GGA-PBEsol.

Output
formation energy without anion corrections: -0.056 eV/atom
distance to the lowest polymorph of the same formula: 0.086 eV/atom

CIF file:
```
data_BeSbPt2
_space_group_name_H-M_alt 'I -4 2 d'
_space_group_IT_number 122
_space_group_name_Hall 'I -4 2bw'
_cell_length_a 4.810
_cell_length_b 4.810
_cell_length_c 13.062
_cell_angle_alpha 90.00
_cell_angle_beta 90.00
_cell_angle_gamma 90.00
loop_
_atom_site_label
_atom_site_type_symbol
_atom_site_fract_x
_atom_site_fract_y
_atom_site_fract_z
Be1 Be 0.000 0.000 0.000
Sb1 Sb 0.000 0.000 0.500
Pt1 Pt 0.162 0.250 0.125
```

=====

# 2
A geometry-optimized LiTcRu2 structure. Source: Alexandria, functional GGA-PBEsol.

Output
distance to the lowest polymorph of the same formula: 0.049 eV/atom
ΔE_f: 0.261 eV/atom

CIF file:
```
data_LiTcRu2
_space_group_name_H-M_alt 'C 1 2/m 1'
_space_group_IT_number 12
_cell_length_a 8.292
_cell_length_b 2.647
_cell_length_c 4.774
_cell_angle_alpha 90.00
_cell_angle_beta 93.79
_cell_angle_gamma 90.00
loop_
_space_group_symop_operation_xyz
'x,y,z'
'-x,-y,-z'
'-x,y,-z'
'x,-y,z'
'x+1/2,y+1/2,z'
'-x+1/2,-y+1/2,-z'
'-x+1/2,y+1/2,-z'
'x+1/2,-y+1/2,z'
loop_
_atom_site_label
_atom_site_type_symbol
_atom_site_fract_x
_atom_site_fract_y
_atom_site_fract_z
Li1 Li 0.000 0.000 0.000
Tc1 Tc 0.000 0.500 0.500
Ru1 Ru 0.250 0.000 0.761
```

=====

# 3
A geometry-optimized LiYSi2 structure. Source: Alexandria, functional GGA-PBEsol.

Output
formation energy without anion corrections: -0.304 eV/atom
distance to the lowest polymorph of the same formula: 0.215 eV/atom

CIF file:
```
data_LiYSi2
_space_group_name_H-M_alt 'C m m m'
_space_group_IT_number 65
_space_group_name_Hall '-C 2 2'
_cell_length_a 5.826
_cell_length_b 8.008
_cell_length_c 3.109
_cell_angle_alpha 90.00
_cell_angle_beta 90.00
_cell_angle_gamma 90.00
loop_
_atom_site_label
_atom_site_type_symbol
_atom_site_fract_x
_atom_site_fract_y
_atom_site_fract_z
Li1 Li 0.000 0.000 0.000
Y1 Y 0.000 0.500 0.000
Si1 Si 0.250 0.250 0.500
```

=====

# 4
A geometry-optimized RuSe2N2 structure. Source: Alexandria, functional GGA-PBEsol.

Output
formation energy without anion corrections: 1.792 eV/atom

CIF file:
```
data_RuSe2N2
_space_group_name_H-M_alt 'P 4/m m m'
_space_group_IT_number 123
_space_group_name_Hall '-P 4 2'
_cell_length_a 3.607
_cell_length_b 3.607
_cell_length_c 6.102
_cell_angle_alpha 90.00
_cell_angle_beta 90.00
_cell_angle_gamma 90.00
loop_
_atom_site_label
_atom_site_type_symbol
_atom_site_fract_x
_atom_site_fract_y
_atom_site_fract_z
Ru1 Ru 0.000 0.000 0.000
Se1 Se 0.500 0.500 0.000
Se2 Se 0.500 0.500 0.500
N1 N 0.000 0.500 0.500
```

=====

# 5
A geometry-optimized LaYZr2 structure. Source: Alexandria, functional GGA-PBEsol.

Output
ΔE_f: 0.172 eV/atom

CIF file:
```
data_LaYZr2
_space_group_name_H-M_alt 'I -4 m 2'
_space_group_IT_number 119
_space_group_name_Hall 'I -4 -2'
_cell_length_a 4.770
_cell_length_b 4.770
_cell_length_c 9.207
_cell_angle_alpha 90.00
_cell_angle_beta 90.00
_cell_angle_gamma 90.00
loop_
_atom_site_label
_atom_site_type_symbol
_atom_site_fract_x
_atom_site_fract_y
_atom_site_fract_z
La1 La 0.000 0.000 0.000
Y1 Y 0.000 0.500 0.250
Zr1 Zr 0.000 0.000 0.500
Zr2 Zr 0.000 0.500 0.750
```

=====

# 6
A geometry-optimized La3FeSe structure. Source: Alexandria, functional GGA-PBEsol.

Output
formation energy without anion corrections: -0.443 eV/atom

CIF file:
```
data_La3FeSe
_space_group_name_H-M_alt 'P m -3 m'
_space_group_IT_number 221
_space_group_name_Hall '-P 4 2 3'
_cell_length_a 5.104
_cell_length_b 5.104
_cell_length_c 5.104
_cell_angle_alpha 90.00
_cell_angle_beta 90.00
_cell_angle_gamma 90.00
loop_
_atom_site_label
_atom_site_type_symbol
_atom_site_fract_x
_atom_site_fract_y
_atom_site_fract_z
La1 La 0.000 0.000 0.500
Fe1 Fe 0.000 0.000 0.000
Se1 Se 0.500 0.500 0.500
```

=====

# 7
A geometry-optimized NiMo2Br structure. Source: Alexandria, functional GGA-PBEsol.

Output
formation energy without anion corrections: 0.360 eV/atom
distance to the lowest polymorph of the same formula: 0.000 eV/atom

CIF file:
```
data_NiMo2Br
_space_group_name_H-M_alt 'P 1 m 1'
_space_group_IT_number 6
_cell_length_a 3.181
_cell_length_b 3.102
_cell_length_c 6.826
_cell_angle_alpha 90.00
_cell_angle_beta 93.69
_cell_angle_gamma 90.00
loop_
_space_group_symop_operation_xyz
'x,y,z'
'x,-y,z'
loop_
_atom_site_label
_atom_site_type_symbol
_atom_site_fract_x
_atom_site_fract_y
_atom_site_fract_z
Ni1 Ni 0.000 0.000 0.000
Mo1 Mo 0.020 0.000 0.600
Mo2 Mo 0.457 0.500 0.806
Br1 Br 0.137 0.500 0.283
```

=====

# 8
A geometry-optimized CrCIO2 structure. Source: Alexandria, functional GGA-PBEsol.

Output
formation energy without anion corrections: 0.230 eV/atom

CIF file:
```
data_CrCIO2
_space_group_name_H-M_alt 'P 4/m m m'
_space_group_IT_number 123
_space_group_name_Hall '-P 4 2'
_cell_length_a 3.527
_cell_length_b 3.527
_cell_length_c 5.617
_cell_angle_alpha 90.00
_cell_angle_beta 90.00
_cell_angle_gamma 90.00
loop_
_atom_site_label
_atom_site_type_symbol
_atom_site_fract_x
_atom_site_fract_y
_atom_site_fract_z
Cr1 Cr 0.000 0.000 0.000
C1 C 0.500 0.500 0.500
I1 I 0.000 0.000 0.500
O1 O 0.000 0.500 0.000
```

=====

# 9
A geometry-optimized Y2PdBr structure. Source: Alexandria, functional GGA-PBEsol.

Output
formation energy without anion corrections: -0.694 eV/atom

CIF file:
```
data_Y2PdBr
_space_group_name_H-M_alt 'F m -3 m'
_space_group_IT_number 225
_space_group_name_Hall '-F 4 2 3'
_cell_length_a 7.092
_cell_length_b 7.092
_cell_length_c 7.092
_cell_angle_alpha 90.00
_cell_angle_beta 90.00
_cell_angle_gamma 90.00
loop_
_atom_site_label
_atom_site_type_symbol
_atom_site_fract_x
_atom_site_fract_y
_atom_site_fract_z
Y1 Y 0.250 0.250 0.250
Pd1 Pd 0.000 0.000 0.000
Br1 Br 0.000 0.000 0.500
```

=====

# 10
A geometry-optimized HfMnAsBr2 structure. Source: Alexandria, functional GGA-PBEsol.

Output
formation energy without anion corrections: 0.103 eV/atom

CIF file:
```
data_HfMnAsBr2
_space_group_name_H-M_alt 'P 4/m m m'
_space_group_IT_number 123
_space_group_name_Hall '-P 4 2'
_cell_length_a 5.106
_cell_length_b 5.106
_cell_length_c 5.258
_cell_angle_alpha 90.00
_cell_angle_beta 90.00
_cell_angle_gamma 90.00
loop_
_atom_site_label
_atom_site_type_symbol
_atom_site_fract_x
_atom_site_fract_y
_atom_site_fract_z
Hf1 Hf 0.000 0.000 0.000
Mn1 Mn 0.500 0.500 0.500
As1 As 0.000 0.000 0.500
Br1 Br 0.000 0.500 0.000
```

=====

# 11
A geometry-optimized SiRhW2 structure. Source: Alexandria, functional GGA-PBEsol.

Output
formation energy without anion corrections: -0.044 eV/atom

CIF file:
```
data_SiRhW2
_space_group_name_H-M_alt 'C m m m'
_space_group_IT_number 65
_space_group_name_Hall '-C 2 2'
_cell_length_a 5.097
_cell_length_b 8.152
_cell_length_c 2.753
_cell_angle_alpha 90.00
_cell_angle_beta 90.00
_cell_angle_gamma 90.00
loop_
_atom_site_label
_atom_site_type_symbol
_atom_site_fract_x
_atom_site_fract_y
_atom_site_fract_z
Si1 Si 0.000 0.000 0.000
Rh1 Rh 0.000 0.500 0.000
W1 W 0.250 0.250 0.500
```

=====

# 12
A geometry-optimized SrLiCd2 structure. Source: Alexandria, functional GGA-PBEsol.

Output
distance to the lowest polymorph of the same formula: 0.006 eV/atom
ΔE_f: -0.239 eV/atom

CIF file:
```
data_SrLiCd2
_space_group_name_H-M_alt 'R 3 m'
_space_group_IT_number 160
_space_group_name_Hall 'R 3 -2"'
_cell_length_a 4.8235
_cell_length_b 4.8235
_cell_length_c 15.8156
_cell_angle_alpha 90.00
_cell_angle_beta 90.00
_cell_angle_gamma 120.00
loop_
_atom_site_label
_atom_site_type_symbol
_atom_site_fract_x
_atom_site_fract_y
_atom_site_fract_z
Sr1 Sr 0.0000 0.0000 0.0000
Li1 Li 0.0000 0.0000 0.8003
Cd1 Cd 0.0000 0.0000 0.2069
Cd2 Cd 0.0000 0.0000 0.4997
```

=====

# 13
A geometry-optimized Y3ZrSi structure. Source: Alexandria, functional GGA-PBEsol.

Output
formation energy without anion corrections: 0.244 eV/atom

CIF file:
```
data_Y3ZrSi
_space_group_name_H-M_alt 'P m -3 m'
_space_group_IT_number 221
_space_group_name_Hall '-P 4 2 3'
_cell_length_a 5.337
_cell_length_b 5.337
_cell_length_c 5.337
_cell_angle_alpha 90.00
_cell_angle_beta 90.00
_cell_angle_gamma 90.00
loop_
_atom_site_label
_atom_site_type_symbol
_atom_site_fract_x
_atom_site_fract_y
_atom_site_fract_z
Y1 Y 0.000 0.000 0.500
Zr1 Zr 0.500 0.500 0.500
Si1 Si 0.000 0.000 0.000
```

=====

# 14
A geometry-optimized MgBiSe2 structure. Source: Alexandria, functional GGA-PBEsol.

Output
formation energy without anion corrections: -0.259 eV/atom

CIF file:
```
data_MgBiSe2
_space_group_name_H-M_alt 'R -3 m'
_space_group_IT_number 166
_space_group_name_Hall '-R 3 2"'
_cell_length_a 4.2353
_cell_length_b 4.2353
_cell_length_c 24.9236
_cell_angle_alpha 90.00
_cell_angle_beta 90.00
_cell_angle_gamma 120.00
loop_
_atom_site_label
_atom_site_type_symbol
_atom_site_fract_x
_atom_site_fract_y
_atom_site_fract_z
Mg1 Mg 0.0000 0.0000 0.0000
Bi1 Bi 0.0000 0.0000 0.5000
Se1 Se 0.0000 0.0000 0.1018
```